[1]
VASP calculation (PBE) on crystalline Er2CoN at its relaxed geometry.

a b c (Å): 6.9302 6.9302 6.9302
angles (deg): 28.59 28.59 28.59
Sites, in units of the cell vectors:
Er  0.2362  0.2362  0.2362
Er  0.7638  0.7638  0.7638
Co  0.0000  0.0000  0.0000
N  0.5000  0.5000  0.5000

Properties
E_form (uncorrected)	-0.70	eV/atom
crystal system	trigonal
V	16.85	A^3/atom



[2]
VASP calculation (PBE) on crystalline ErCoN at its relaxed geometry.

a b c (Å): 3.0492 3.9399 3.9399
angles (deg): 88.95 90.00 90.00
Sites, in units of the cell vectors:
Er  0.0000  0.0000  0.0000
Co  0.0000  0.4777  0.4777
N  0.5000  0.3073  0.3073

Properties
E_form (uncorrected)	-0.17	eV/atom
crystal system	orthorhombic
V	15.77	A^3/atom



[3]
VASP calculation (PBE) on crystalline ErPa2CoN5 at its relaxed geometry.

a b c (Å): 6.8582 6.8582 10.1558
angles (deg): 90.00 90.00 151.76
Sites, in units of the cell vectors:
Er  0.1968  0.8032  0.5000
Er  0.8032  0.1968  0.0000
Pa  0.1060  0.8940  0.1820
Pa  0.1390  0.8610  0.7995
Pa  0.8610  0.1390  0.2995
Pa  0.8940  0.1060  0.6820
Co  0.4830  0.5170  0.9556
Co  0.5170  0.4830  0.4556
N  0.0388  0.9612  0.5670
N  0.2813  0.7187  0.1742
N  0.3348  0.6652  0.8515
N  0.3703  0.6297  0.4941
N  0.4814  0.5186  0.2756
N  0.5186  0.4814  0.7756
N  0.6297  0.3703  0.9941
N  0.6652  0.3348  0.3515
N  0.7187  0.2813  0.6742
N  0.9612  0.0388  0.0670

Properties
E_form (uncorrected)	-1.14	eV/atom
crystal system	orthorhombic
V	12.56	A^3/atom



[4]
VASP calculation (PBE) on crystalline ErPaCoN4 at its relaxed geometry.

a b c (Å): 5.6169 4.9274 6.7143
angles (deg): 90.00 108.57 90.00
Sites, in units of the cell vectors:
Er  0.2060  0.2500  0.4396
Er  0.7940  0.7500  0.5604
Pa  0.2549  0.2500  0.9464
Pa  0.7451  0.7500  0.0536
Co  0.2783  0.7500  0.2160
Co  0.7217  0.2500  0.7840
N  0.0567  0.7500  0.3649
N  0.0922  0.7500  0.9356
N  0.4819  0.0027  0.7510
N  0.4819  0.4973  0.7510
N  0.5181  0.5027  0.2490
N  0.5181  0.9973  0.2490
N  0.9078  0.2500  0.0644
N  0.9433  0.2500  0.6351

Properties
E_form (uncorrected)	-0.80	eV/atom
crystal system	monoclinic
V	12.58	A^3/atom



- Which formula does entry 2 have?
  ErCoN